Material: In2HgSbS2
Method: DFT, PBE
State: relaxed

## Properties
energy: -3.25 eV per atom
raw formation energy: -0.22 eV per atom

Geometry as CIF:
```
data_In2HgSbS2
_chemical_formula_sum 'In8 Hg4 Sb4 S8'
_cell_length_a 14.7112
_cell_length_b 7.4831
_cell_length_c 6.4873
_cell_angle_alpha 90.00
_cell_angle_beta 90.00
_cell_angle_gamma 90.00
_space_group_name_H-M_alt 'C m c 21'
_space_group_IT_number 36
_space_group_name_Hall 'C 2c -2'
loop_
_atom_site_label
_atom_site_fract_x
_atom_site_fract_y
_atom_site_fract_z
In1 0.1629 0.1598 0.0000
Hg1 0.0000 0.4350 0.5951
Sb1 0.0000 0.1900 0.2465
S1 0.1939 0.1695 0.6124
```

Material: NiSnPt6
Method: DFT, PBE
State: relaxed

## Properties
E_form: -1.5 eV per formula unit
polymorph energy (0 for the lowest one): 0.000 eV per atom
energy: -5.95 eV per atom

Geometry as CIF:
```
data_NiSnPt6
_chemical_formula_sum 'Ni1 Sn1 Pt6'
_cell_length_a 3.9750
_cell_length_b 3.9750
_cell_length_c 7.9662
_cell_angle_alpha 90.00
_cell_angle_beta 90.00
_cell_angle_gamma 90.00
_space_group_name_H-M_alt 'P 4/m m m'
_space_group_IT_number 123
_space_group_name_Hall '-P 4 2'
loop_
_atom_site_label
_atom_site_fract_x
_atom_site_fract_y
_atom_site_fract_z
Ni1 0.0000 0.0000 0.0000
Sn1 0.0000 0.0000 0.5000
Pt1 0.0000 0.5000 0.2386
Pt2 0.5000 0.5000 0.0000
Pt3 0.5000 0.5000 0.5000
```

Material: CaNdY4Se8
Method: DFT, PBE
State: relaxed

## Properties
energy: -6.13 eV per atom
raw formation energy: -1.81 eV per atom

Geometry as CIF:
```
data_CaNdY4Se8
_chemical_formula_sum 'Ca3 Nd3 Y12 Se24'
_cell_length_a 8.4850
_cell_length_b 8.4850
_cell_length_c 20.9994
_cell_angle_alpha 90.00
_cell_angle_beta 90.00
_cell_angle_gamma 120.00
_space_group_name_H-M_alt 'R 3 m'
_space_group_IT_number 160
_space_group_name_Hall 'R 3 -2"'
loop_
_atom_site_label
_atom_site_fract_x
_atom_site_fract_y
_atom_site_fract_z
Ca1 0.0000 0.0000 0.0000
Nd1 0.0000 0.0000 0.6280
Y1 0.0000 0.0000 0.2518
Y2 0.1694 0.3387 0.4587
Se1 0.0000 0.0000 0.3844
Se2 0.0000 0.0000 0.8659
Se3 0.0211 0.5105 0.3820
Se4 0.1745 0.3489 0.2043
```

Material: Ho5InHg3
Method: DFT, PBE
State: relaxed

## Properties
E_form: -3.6 eV per formula unit
energy: -3.34 eV per atom

Geometry as CIF:
```
data_Ho5InHg3
_chemical_formula_sum 'Ho10 In2 Hg6'
_cell_length_a 9.0956
_cell_length_b 9.0956
_cell_length_c 6.6480
_cell_angle_alpha 90.00
_cell_angle_beta 90.00
_cell_angle_gamma 120.00
_space_group_name_H-M_alt 'P 63/m c m'
_space_group_IT_number 193
_space_group_name_Hall '-P 6c 2'
loop_
_atom_site_label
_atom_site_fract_x
_atom_site_fract_y
_atom_site_fract_z
Ho1 0.0000 0.2975 0.2500
Ho2 0.3333 0.6667 0.0000
In1 0.0000 0.0000 0.0000
Hg1 0.0000 0.3716 0.7500
```

Material: DyAlPt2
Method: DFT, PBE
State: relaxed

## Properties
E_form: -4.2 eV per formula unit
energy: -6.15 eV per atom

Geometry as CIF:
```
data_DyAlPt2
_chemical_formula_sum 'Dy1 Al1 Pt2'
_cell_length_a 3.1515
_cell_length_b 3.1515
_cell_length_c 7.1069
_cell_angle_alpha 90.00
_cell_angle_beta 90.00
_cell_angle_gamma 90.00
_space_group_name_H-M_alt 'P 4/m m m'
_space_group_IT_number 123
_space_group_name_Hall '-P 4 2'
loop_
_atom_site_label
_atom_site_fract_x
_atom_site_fract_y
_atom_site_fract_z
Dy1 0.0000 0.0000 0.0000
Al1 0.0000 0.0000 0.5000
Pt1 0.5000 0.5000 0.2922
```

Material: Mg3H2Ir3
Method: DFT, PBE
State: relaxed

## Properties
polymorph energy (0 for the lowest one): 0.067 eV per atom
energy: -5.00 eV per atom

Geometry as CIF:
```
data_Mg3H2Ir3
_chemical_formula_sum 'Mg3 H2 Ir3'
_cell_length_a 3.0355
_cell_length_b 4.6744
_cell_length_c 7.1243
_cell_angle_alpha 92.26
_cell_angle_beta 102.27
_cell_angle_gamma 90.01
_space_group_name_H-M_alt 'P 1'
_space_group_IT_number 1
_space_group_name_Hall 'P 1'
loop_
_atom_site_label
_atom_site_fract_x
_atom_site_fract_y
_atom_site_fract_z
Mg1 0.0000 0.0000 0.0000
Mg2 0.1532 0.5728 0.3061
Mg3 0.3153 0.1550 0.6315
H1 0.7353 0.3667 0.4701
H2 0.9217 0.3990 0.8401
Ir1 0.4859 0.4968 0.9699
Ir2 0.6579 0.0660 0.3155
Ir3 0.8232 0.6864 0.6479
```

Material: HSF2
Method: DFT, PBE
State: relaxed

## Properties
polymorph energy (0 for the lowest one): 0.000 eV per atom
energy: -3.33 eV per atom

Geometry as CIF:
```
data_HSF2
_chemical_formula_sum 'H3 S3 F6'
_cell_length_a 2.7732
_cell_length_b 2.7732
_cell_length_c 18.5795
_cell_angle_alpha 90.00
_cell_angle_beta 90.00
_cell_angle_gamma 120.00
_space_group_name_H-M_alt 'R -3 m'
_space_group_IT_number 166
_space_group_name_Hall '-R 3 2"'
loop_
_atom_site_label
_atom_site_fract_x
_atom_site_fract_y
_atom_site_fract_z
H1 0.0000 0.0000 0.0000
S1 0.0000 0.0000 0.5000
F1 0.0000 0.0000 0.0617
```

Material: Nd6Dy7Tm16
Method: DFT, PBE
State: relaxed

## Properties
E_form: 7.1 eV per formula unit
energy: -4.32 eV per atom

Geometry as CIF:
```
data_Nd6Dy7Tm16
_chemical_formula_sum 'Nd24 Dy28 Tm64'
_cell_length_a 15.6986
_cell_length_b 15.6986
_cell_length_c 15.6986
_cell_angle_alpha 90.00
_cell_angle_beta 90.00
_cell_angle_gamma 90.00
_space_group_name_H-M_alt 'F m -3 m'
_space_group_IT_number 225
_space_group_name_Hall '-F 4 2 3'
loop_
_atom_site_label
_atom_site_fract_x
_atom_site_fract_y
_atom_site_fract_z
Nd1 0.0000 0.0000 0.2303
Dy1 0.0000 0.0000 0.5000
Dy2 0.0000 0.2500 0.2500
Tm1 0.1274 0.1274 0.3726
Tm2 0.1503 0.1503 0.1503
```